1.
Below is a geometry-optimized PmMgSnAu structure, with properties calculated at the PBE level.

```
data_PmMgSnAu
_symmetry_space_group_name_H-M 'F -4 3 m'
_symmetry_Int_Tables_number 216
_symmetry_space_group_name_Hall 'F -4 2 3'
_cell_length_a 7.2679
_cell_length_b 7.2679
_cell_length_c 7.2679
_cell_angle_alpha 90.00
_cell_angle_beta 90.00
_cell_angle_gamma 90.00
loop_
_atom_site_label
_atom_site_fract_x
_atom_site_fract_y
_atom_site_fract_z
_atom_site_occupancy
Pm1 0.0000 0.0000 0.0000 1
Mg1 0.0000 0.0000 0.5000 1
Sn1 0.2500 0.2500 0.2500 1
Au1 0.2500 0.2500 0.7500 1
```

Summary:
DFT total energy: -4.00 eV per atom
D(E_F): 1.777 states/eV/f.u.
Formation energy from the elements: -2.39 eV/f.u.

2.
Below is a geometry-optimized Sr2UBeO6 structure, with properties calculated at the PBE level.

```
data_Sr2UBeO6
_symmetry_space_group_name_H-M 'C 1 2/m 1'
_symmetry_Int_Tables_number 12
_symmetry_space_group_name_Hall '-C 2y'
_cell_length_a 10.0347
_cell_length_b 5.4986
_cell_length_c 5.5620
_cell_angle_alpha 90.00
_cell_angle_beta 121.92
_cell_angle_gamma 90.00
loop_
_atom_site_label
_atom_site_fract_x
_atom_site_fract_y
_atom_site_fract_z
_atom_site_occupancy
Sr1 0.2451 0.0000 0.2298 1
U1 0.0000 0.0000 0.5000 1
Be1 0.0000 0.5000 0.0000 1
O1 0.0287 0.2663 0.7974 1
O2 0.2393 0.0000 0.6830 1
```

Summary:
E_form (uncorrected): -2.865 eV per atom
DFT total energy: -7.68 eV per atom
D(E_F): 0.000 states/eV/f.u.

3.
Below is a geometry-optimized NaGaS2N structure, with properties calculated at the PBE level.

```
data_NaGaS2N
_symmetry_space_group_name_H-M 'P 4/m m m'
_symmetry_Int_Tables_number 123
_symmetry_space_group_name_Hall '-P 4 2'
_cell_length_a 4.9833
_cell_length_b 4.9833
_cell_length_c 3.8464
_cell_angle_alpha 90.00
_cell_angle_beta 90.00
_cell_angle_gamma 90.00
loop_
_atom_site_label
_atom_site_fract_x
_atom_site_fract_y
_atom_site_fract_z
_atom_site_occupancy
Na1 0.0000 0.0000 0.0000 1
Ga1 0.5000 0.5000 0.5000 1
S1 0.0000 0.5000 0.5000 1
N1 0.5000 0.5000 0.0000 1
```

Summary:
Relative energy among the computed polymorphs: 0.0 meV per atom
E_form (uncorrected): 0.322 eV per atom
DFT total energy: -3.86 eV per atom
D(E_F): 2.127 states/eV/f.u.

4.
Below is a geometry-optimized Tb9Nd2Th structure, with properties calculated at the PBE level.

```
data_Tb9Nd2Th
_symmetry_space_group_name_H-M 'P 4/m m m'
_symmetry_Int_Tables_number 123
_symmetry_space_group_name_Hall '-P 4 2'
_cell_length_a 5.0631
_cell_length_b 5.0631
_cell_length_c 15.1897
_cell_angle_alpha 90.00
_cell_angle_beta 90.00
_cell_angle_gamma 90.00
loop_
_atom_site_label
_atom_site_fract_x
_atom_site_fract_y
_atom_site_fract_z
_atom_site_occupancy
Tb1 0.0000 0.0000 0.0000 1
Tb2 0.0000 0.0000 0.3333 1
Tb3 0.0000 0.5000 0.1631 1
Tb4 0.0000 0.5000 0.5000 1
Nd1 0.5000 0.5000 0.3322 1
Th1 0.5000 0.5000 0.0000 1
```

Summary:
DFT total energy: -4.86 eV per atom
D(E_F): 16.641 states/eV/f.u.
Formation energy from the elements: 0.27 eV/f.u.

5.
Below is a geometry-optimized Mg2GaH structure, with properties calculated at the PBE level.

```
data_Mg2GaH
_symmetry_space_group_name_H-M 'I -4 2 d'
_symmetry_Int_Tables_number 122
_symmetry_space_group_name_Hall 'I -4 2bw'
_cell_length_a 6.3815
_cell_length_b 6.3815
_cell_length_c 6.4507
_cell_angle_alpha 90.00
_cell_angle_beta 90.00
_cell_angle_gamma 90.00
loop_
_atom_site_label
_atom_site_fract_x
_atom_site_fract_y
_atom_site_fract_z
_atom_site_occupancy
Mg1 0.1511 0.2500 0.1250 1
Ga1 0.0000 0.0000 0.5000 1
H1 0.0000 0.0000 0.0000 1
```

Summary:
Relative energy among the computed polymorphs: 58.9 meV per atom
DFT total energy: -2.37 eV per atom
D(E_F): 0.986 states/eV/f.u.

6.
Below is a geometry-optimized NaMgZn3 structure, with properties calculated at the PBE level.

```
data_NaMgZn3
_symmetry_space_group_name_H-M 'R -3 m'
_symmetry_Int_Tables_number 166
_symmetry_space_group_name_Hall '-R 3 2"'
_cell_length_a 5.4947
_cell_length_b 5.4947
_cell_length_c 22.4691
_cell_angle_alpha 90.00
_cell_angle_beta 90.00
_cell_angle_gamma 120.00
loop_
_atom_site_label
_atom_site_fract_x
_atom_site_fract_y
_atom_site_fract_z
_atom_site_occupancy
Na1 0.0000 0.0000 0.1664 1
Mg1 0.0000 0.0000 0.4081 1
Zn1 0.0048 0.5024 0.3808 1
```

Summary:
Relative energy among the computed polymorphs: 0.0 meV per atom
DFT total energy: -1.38 eV per atom
D(E_F): 1.084 states/eV/f.u.
Formation energy from the elements: -0.18 eV/f.u.

7.
Below is a geometry-optimized Sm4CdAg structure, with properties calculated at the PBE level.

```
data_Sm4CdAg
_symmetry_space_group_name_H-M 'P 1 21/c 1'
_symmetry_Int_Tables_number 14
_symmetry_space_group_name_Hall '-P 2ybc'
_cell_length_a 6.2682
_cell_length_b 9.4820
_cell_length_c 6.1954
_cell_angle_alpha 90.00
_cell_angle_beta 107.98
_cell_angle_gamma 90.00
loop_
_atom_site_label
_atom_site_fract_x
_atom_site_fract_y
_atom_site_fract_z
_atom_site_occupancy
Sm1 0.0938 0.1640 0.1009 1
Sm2 0.3975 0.6585 0.9162 1
Cd1 0.5000 0.0000 0.0000 1
Ag1 0.0000 0.0000 0.5000 1
```

Summary:
Relative energy among the computed polymorphs: 137.4 meV per atom
DFT total energy: -3.81 eV per atom
D(E_F): 5.903 states/eV/f.u.
Formation energy from the elements: -0.22 eV/f.u.

8.
Below is a geometry-optimized ZrAl2Se structure, with properties calculated at the PBE level.

```
data_ZrAl2Se
_symmetry_space_group_name_H-M 'P 1 2/m 1'
_symmetry_Int_Tables_number 10
_symmetry_space_group_name_Hall '-P 2y'
_cell_length_a 3.5703
_cell_length_b 4.0896
_cell_length_c 5.3078
_cell_angle_alpha 90.00
_cell_angle_beta 90.37
_cell_angle_gamma 90.00
loop_
_atom_site_label
_atom_site_fract_x
_atom_site_fract_y
_atom_site_fract_z
_atom_site_occupancy
Zr1 0.0000 0.0000 0.0000 1
Al1 0.4990 0.5000 0.7519 1
Se1 0.0000 0.0000 0.5000 1
```

Summary:
E_form (uncorrected): -0.295 eV per atom
DFT total energy: -5.17 eV per atom
D(E_F): 2.607 states/eV/f.u.